# 1
Material: HfMgNiRh
Method: DFT, GGA-PBE
State: optimized geometry

a = 4.4666 Å, b = 4.4666 Å, c = 4.4666 Å
α = 60.00°, β = 60.00°, γ = 60.00°
Element x y z (fractional)
1 Rh 0.5000 0.5000 0.5000
2 Mg 0.2500 0.2500 0.2500
3 Hf 0.7500 0.7500 0.7500
4 Ni 0.0000 0.0000 0.0000

Results
DOS(E_F)   2.55 states/eV/cell
Size of the total moment   0.0 μB/f.u.
Symmetry   No. 216
Energy of formation from the pure elements   -56.6 kJ per mole of atoms
Uncorrected energy   -6.76 eV/atom



# 2
Material: AlSiPN4
Method: DFT, GGA-PBE
State: optimized geometry

a = 4.6576 Å, b = 3.0349 Å, c = 5.0018 Å
α = 90.00°, β = 107.30°, γ = 90.00°
Element x y z (fractional)
1 Al 0.8360 0.5000 0.0905
2 Si 0.4812 0.0000 0.2844
3 P 0.2379 0.0000 0.6660
4 N 0.5749 0.0000 0.9379
5 N 0.1254 0.5000 0.8286
6 N 0.8813 0.0000 0.4044
7 N 0.2617 0.5000 0.1422

Results
Size of the total moment   0.0 μB/f.u.
Symmetry   No. 6
Formation energy (no corrections)   -87.2 kJ/mol of formula units
Uncorrected energy   -6.97 eV/atom
Relative energy among the computed polymorphs   15.03 kcal/mol of atoms



# 3
Material: Tb4Nd3Er3
Method: DFT, GGA-PBE
State: optimized geometry

a = 3.7089 Å, b = 9.4268 Å, c = 9.4268 Å
α = 90.40°, β = 90.00°, γ = 90.00°
Element x y z (fractional)
1 Tb 0.0000 0.6270 0.3730
2 Tb 0.0000 0.3716 0.6284
3 Tb 0.0000 0.8770 0.8713
4 Tb 0.0000 0.1287 0.1230
5 Nd 0.5000 0.8277 0.1723
6 Nd 0.5000 0.3262 0.3277
7 Nd 0.5000 0.6723 0.6738
8 Er 0.0000 0.4941 0.9977
9 Er 0.0000 0.0023 0.5059
10 Er 0.5000 0.1732 0.8268

Results
DOS(E_F)   8.06 states/eV/cell
Size of the total moment   0.0 μB/f.u.
Symmetry   No. 38
Energy of formation from the pure elements   10.0 kJ per mole of atoms
Uncorrected energy   -4.55 eV/atom



What did the third record say?
Material: Tb4Nd3Er3
Method: DFT, GGA-PBE
State: optimized geometry

a = 3.7089 Å, b = 9.4268 Å, c = 9.4268 Å
α = 90.40°, β = 90.00°, γ = 90.00°
Element x y z (fractional)
1 Tb 0.0000 0.6270 0.3730
2 Tb 0.0000 0.3716 0.6284
3 Tb 0.0000 0.8770 0.8713
4 Tb 0.0000 0.1287 0.1230
5 Nd 0.5000 0.8277 0.1723
6 Nd 0.5000 0.3262 0.3277
7 Nd 0.5000 0.6723 0.6738
8 Er 0.0000 0.4941 0.9977
9 Er 0.0000 0.0023 0.5059
10 Er 0.5000 0.1732 0.8268

Results
DOS(E_F)   8.06 states/eV/cell
Size of the total moment   0.0 μB/f.u.
Symmetry   No. 38
Energy of formation from the pure elements   10.0 kJ per mole of atoms
Uncorrected energy   -4.55 eV/atom



uncorrected energy of number 1 (HfMgNiRh)?
-6.76 eV/atom